Record 1
PBE SrHo2Pd, optimized geometry; DFT total energy = -4.328 eV per atom; DOS at the Fermi energy = 1.36 states/eV/atom; symmetry = P4/mmm, No. 123; calculated formation energy = -0.3202 eV/atom; magnetic moment = 0.000 Bohr magnetons per cell
1.0
-0.867 -3.003 1.748
2.007 1.037 2.778
-7.592 4.423 3.835
Sr Ho Pd
1 2 1
Direct
0.500 0.500 0.500
0.000 0.000 0.829
0.000 0.000 0.171
0.500 0.500 0.000


Record 2
PBE ThSi2PtRh5, optimized geometry; DFT total energy = -7.222 eV per atom; DOS at the Fermi energy = 0.84 states/eV/atom; symmetry = P4/mmm, No. 123; formation energy without anion corrections = -10.1 kcal/mol of atoms; magnetic moment = 0.000 Bohr magnetons per cell
1.0
4.562 0.000 0.000
0.000 4.562 0.000
0.000 0.000 7.188
Th Si Pt Rh
1 2 1 5
Direct
0.000 0.000 0.500
0.500 0.500 0.166
0.500 0.500 0.834
0.000 0.000 0.000
0.000 0.500 0.221
0.500 0.000 0.221
0.000 0.500 0.779
0.500 0.000 0.779
0.500 0.500 0.500


Record 3
PBE RbBiN2F, optimized geometry; DFT total energy = -3.148 eV per atom; DOS at the Fermi energy = 0.68 states/eV/atom; symmetry = P4/mmm, No. 123; formation energy without anion corrections = 35.2 kcal/mol of atoms; magnetic moment = 1.015 Bohr magnetons per cell
1.0
4.492 0.000 0.000
0.000 4.492 0.000
0.000 0.000 4.630
N Bi Rb F
2 1 1 1
Direct
0.000 0.500 0.000
0.500 0.000 0.000
0.500 0.500 0.500
0.000 0.000 0.000
0.000 0.000 0.500


Record 4
PBE ErMgTe2, optimized geometry; DFT total energy = -4.098 eV per atom; DOS at the Fermi energy = 0.52 states/eV/atom; symmetry = R-3m, No. 166; formation energy without anion corrections = -22.8 kcal/mol of atoms; magnetic moment = 0.000 Bohr magnetons per cell
1.0
4.163 0.000 0.000
2.081 3.605 0.000
2.081 1.202 7.458
Mg Te Er
1 2 1
Direct
0.000 0.000 0.000
0.253 0.253 0.241
0.747 0.747 0.759
0.500 0.500 0.500


Record 5
PBE Be3NiCl, optimized geometry; DFT total energy = -3.126 eV per atom; DOS at the Fermi energy = 0.49 states/eV/atom; symmetry = Pm-3m, No. 221; formation energy without anion corrections = 14.7 kcal/mol of atoms; magnetic moment = 0.000 Bohr magnetons per cell
1.0
4.166 0.000 0.000
0.000 4.166 0.000
0.000 0.000 4.166
Ni Be Cl
1 3 1
Direct
0.000 0.000 0.000
0.000 0.500 0.000
0.000 0.000 0.500
0.500 0.000 0.000
0.500 0.500 0.500


Record 6
PBE SmDyAlAu, optimized geometry; DFT total energy = -4.619 eV per atom; DOS at the Fermi energy = 0.99 states/eV/atom; symmetry = F-43m, No. 216; calculated formation energy = -0.5334 eV/atom; magnetic moment = 0.000 Bohr magnetons per cell
1.0
5.189 0.000 0.000
2.595 4.494 0.000
2.595 1.498 4.237
Au Al Sm Dy
1 1 1 1
Direct
0.000 0.000 0.000
0.500 0.500 0.500
0.250 0.250 0.250
0.750 0.750 0.750


Record 7
PBE TaPd3Se, optimized geometry; DFT total energy = -5.242 eV per atom; DOS at the Fermi energy = 1.33 states/eV/atom; symmetry = Pm-3m, No. 221; formation energy without anion corrections = 21.7 kcal/mol of atoms; magnetic moment = 0.000 Bohr magnetons per cell
1.0
-3.839 0.276 2.982
-2.560 -2.819 -3.035
1.555 -3.961 2.367
Se Pd Ta
1 3 1
Direct
0.500 0.500 0.500
0.000 0.500 0.000
0.000 0.000 0.500
0.500 0.000 0.000
0.000 0.000 0.000


Record 8
PBE CoReAu2, optimized geometry; DFT total energy = -6.054 eV per atom; DOS at the Fermi energy = 1.17 states/eV/atom; symmetry = R-3m, No. 166; calculated formation energy = 0.4732 eV/atom; magnetic moment = 2.384 Bohr magnetons per cell
1.0
9.247 -0.026 -0.015
8.827 2.755 -0.015
8.827 1.333 2.411
Au Co Re
2 1 1
Direct
0.997 0.997 0.997
0.503 0.503 0.503
0.250 0.250 0.250
0.750 0.750 0.750